This record from Alexandria describes an optimized crystal structure of Pr12Nd7Dy. The functional is PBE.

Lattice parameters (Å, degrees): 19.0653 19.0653 7.0195 90.00 90.00 120.00
Space group R-3 (No. 148, hexagonal axes)
Asymmetric unit:
Pr (0.0000, 0.2142, 0.2886) (multiplicity 18)
Pr (0.0074, 0.5376, 0.7409) (multiplicity 18)
Nd (0.0000, 0.0000, 0.5000) (multiplicity 3)
Nd (0.0060, 0.1552, 0.7770) (multiplicity 18)
Dy (0.0000, 0.0000, 0.0000) (multiplicity 3)

Values from the calculation:
The value obtained for the volume is 36.83 Å³/atom. The calculated formation energy is 0.2607 eV per atom. The value obtained for the polymorph energy (0 for the lowest one) is 51.1 meV per atom.

---

This record from Alexandria describes an optimized crystal structure of CeZnHg. The functional is PBE.

Lattice parameters (Å, degrees): 4.867 6.631 8.481 90.00 90.00 90.00
Space group Immm (No. 71)
Asymmetric unit:
Ce (0.000, 0.231, 0.000) (multiplicity 4)
Zn (0.000, 0.000, 0.347) (multiplicity 4)
Hg (0.000, 0.500, 0.319) (multiplicity 4)

Values from the calculation:
The value obtained for the volume is 22.81 Å³/atom. The calculated formation energy is -0.3214 eV per atom.

---

This record from Alexandria describes an optimized crystal structure of CoAgBr4. The functional is PBE.

Lattice parameters (Å, degrees): 8.815 8.815 8.815 90.00 90.00 90.00
Space group F-43m (No. 216)
Asymmetric unit:
Co (0.000, 0.000, 0.000) (multiplicity 4)
Ag (0.250, 0.250, 0.750) (multiplicity 4)
Br (0.126, 0.126, 0.374) (multiplicity 16)

Values from the calculation:
The value obtained for the volume is 28.54 Å³/atom. The value obtained for the polymorph energy (0 for the lowest one) is 1308.8 meV per atom. The calculation puts the formation energy without anion corrections at 1.03 eV/atom.

---

This record from Alexandria describes an optimized crystal structure of ZnCdRe2. The functional is PBE.

Lattice parameters (Å, degrees): 4.416 4.416 3.211 90.00 90.00 90.00
Space group P4/mmm (No. 123)
Asymmetric unit:
Zn (0.000, 0.000, 0.000) (multiplicity 1)
Cd (0.500, 0.500, 0.000) (multiplicity 1)
Re (0.000, 0.500, 0.500) (multiplicity 2)

Values from the calculation:
The value obtained for the volume is 15.66 Å³/atom. The calculated formation energy is 0.9441 eV per atom. The value obtained for the polymorph energy (0 for the lowest one) is 780.9 meV per atom.

---

This record from Alexandria describes an optimized crystal structure of Sc2FeW. The functional is PBE.

Lattice parameters (Å, degrees): 2.9962 2.9962 26.4476 90.00 90.00 120.00
Space group R-3m (No. 166, hexagonal axes)
Asymmetric unit:
Sc (0.0000, 0.0000, 0.2416) (multiplicity 6)
Fe (0.0000, 0.0000, 0.5000) (multiplicity 3)
W (0.0000, 0.0000, 0.0000) (multiplicity 3)

Values from the calculation:
The value obtained for the volume is 17.14 Å³/atom. The calculated formation energy is 0.3574 eV per atom. The value obtained for the polymorph energy (0 for the lowest one) is 326.1 meV per atom.

---

This record from Alexandria describes an optimized crystal structure of ErZnIn2. The functional is PBE.

Lattice parameters (Å, degrees): 4.474 4.474 4.485 90.00 90.00 90.00
Space group P4/mmm (No. 123)
Asymmetric unit:
Er (0.000, 0.000, 0.000) (multiplicity 1)
Zn (0.500, 0.500, 0.000) (multiplicity 1)
In (0.000, 0.500, 0.500) (multiplicity 2)

Values from the calculation:
The value obtained for the volume is 22.44 Å³/atom. The calculated formation energy is -0.3403 eV per atom.

---

This record from Alexandria describes an optimized crystal structure of PrSnHg4. The functional is PBE.

Lattice parameters (Å, degrees): 4.649 14.071 4.710 90.00 90.00 90.00
Space group Cmmm (No. 65)
Asymmetric unit:
Pr (0.000, 0.000, 0.000) (multiplicity 2)
Sn (0.000, 0.500, 0.500) (multiplicity 2)
Hg (0.000, 0.169, 0.500) (multiplicity 4)
Hg (0.000, 0.328, 0.000) (multiplicity 4)

Values from the calculation:
The value obtained for the volume is 25.67 Å³/atom. The calculated formation energy is -0.2850 eV per atom. The value obtained for the polymorph energy (0 for the lowest one) is 0.0 meV per atom.

---

This record from Alexandria describes an optimized crystal structure of RuPb8. The functional is PBE.

Lattice parameters (Å, degrees): 10.270 10.270 4.864 90.00 90.00 90.00
Space group I4/mmm (No. 139)
Asymmetric unit:
Ru (0.000, 0.000, 0.000) (multiplicity 2)
Pb (0.000, 0.311, 0.000) (multiplicity 8)
Pb (0.154, 0.154, 0.500) (multiplicity 8)

Values from the calculation:
The value obtained for the volume is 28.50 Å³/atom. The calculated formation energy is 0.1990 eV per atom.

---

This record from Alexandria describes an optimized crystal structure of TaHg3Se. The functional is PBE.

Lattice parameters (Å, degrees): 5.411 5.411 5.411 90.00 90.00 90.00
Space group Pm-3m (No. 221)
Asymmetric unit:
Ta (0.000, 0.000, 0.000) (multiplicity 1)
Hg (0.000, 0.000, 0.500) (multiplicity 3)
Se (0.500, 0.500, 0.500) (multiplicity 1)

Values from the calculation:
The value obtained for the volume is 31.69 Å³/atom. The value obtained for the polymorph energy (0 for the lowest one) is 0.0 meV per atom. The calculation puts the formation energy without anion corrections at 0.97 eV/atom.

---

This record from Alexandria describes an optimized crystal structure of KAgRu2. The functional is PBE.

Lattice parameters (Å, degrees): 2.7808 2.7808 31.7405 90.00 90.00 120.00
Space group R-3m (No. 166, hexagonal axes)
Asymmetric unit:
K (0.0000, 0.0000, 0.0000) (multiplicity 3)
Ag (0.0000, 0.0000, 0.5000) (multiplicity 3)
Ru (0.0000, 0.0000, 0.2422) (multiplicity 6)

Values from the calculation:
The value obtained for the volume is 17.71 Å³/atom. The calculated formation energy is 0.9645 eV per atom. The value obtained for the polymorph energy (0 for the lowest one) is 422.5 meV per atom.

---

This record from Alexandria describes an optimized crystal structure of Tl3RhO6. The functional is PBE.

Lattice parameters (Å, degrees): 9.4246 9.4246 11.4094 90.00 90.00 120.00
Space group R-3 (No. 148, hexagonal axes)
Asymmetric unit:
Tl (0.0411, 0.7787, 0.2112) (multiplicity 18)
Rh (0.0000, 0.0000, 0.0000) (multiplicity 3)
Rh (0.0000, 0.0000, 0.5000) (multiplicity 3)
O (0.0326, 0.8319, 0.4101) (multiplicity 18)
O (0.0346, 0.8531, 0.8884) (multiplicity 18)

Values from the calculation:
The value obtained for the volume is 14.63 Å³/atom. The value obtained for the polymorph energy (0 for the lowest one) is 0.0 meV per atom. The calculation puts the formation energy without anion corrections at -0.73 eV/atom.

---

This record from Alexandria describes an optimized crystal structure of Ca2Sm3Ag2. The functional is PBE.

Lattice parameters (Å, degrees): 13.039 3.961 9.420 90.00 115.97 90.00
Space group C2/m (No. 12)
Asymmetric unit:
Ca (0.150, 0.000, 0.310) (multiplicity 4)
Sm (0.000, 0.500, 0.500) (multiplicity 2)
Sm (0.120, 0.500, 0.950) (multiplicity 4)
Ag (0.169, 0.000, 0.726) (multiplicity 4)

Values from the calculation:
The value obtained for the volume is 31.24 Å³/atom. The calculated formation energy is -0.1128 eV per atom.